Below is a relaxed BaNa3Pa4Te12 crystal, with properties calculated at the PBE level.

Values from the calculation:
total magnetization = 1.334 μB per formula unit
space group = Im-3, No. 204
raw formation energy = -900.2 meV/atom
calculated total energy = -4.98 eV/atom

The structure in POSCAR format:
```
BaNa3Pa4Te12
1.0
-5.017 -2.127 8.292
-5.725 -1.839 -7.893
8.167 -5.616 -0.458
Ba Na Pa Te
1 3 4 12
Direct
0.000 0.000 0.000 Ba
0.000 0.500 0.500 Na
0.500 0.500 0.000 Na
0.500 0.000 0.500 Na
0.500 0.000 0.000 Pa
0.500 0.500 0.500 Pa
0.000 0.500 0.000 Pa
0.000 0.000 0.500 Pa
0.293 0.816 0.109 Te
0.707 0.184 0.891 Te
0.707 0.816 0.524 Te
0.891 0.707 0.184 Te
0.816 0.109 0.293 Te
0.184 0.476 0.293 Te
0.476 0.293 0.184 Te
0.184 0.891 0.707 Te
0.293 0.184 0.476 Te
0.109 0.293 0.816 Te
0.816 0.524 0.707 Te
0.524 0.707 0.816 Te
```

***

Below is a relaxed NdHo3Th2 crystal, with properties calculated at the PBE level.

Values from the calculation:
ΔH_f (0 K) = 4 kJ per mole of atoms
energy above the lowest structure with this stoichiometry = 0.0000 eV per atom
total magnetization = 0.000 μB per formula unit
space group = C2/m, No. 12
calculated total energy = -5.51 eV/atom

The structure in POSCAR format:
```
NdHo3Th2
1.0
3.543 0.000 0.581
0.991 9.853 5.050
-0.006 -0.011 11.131
Nd Ho Th
2 6 4
Direct
0.608 0.019 0.765 Nd
0.392 0.981 0.235 Nd
0.722 0.154 0.403 Ho
0.946 0.677 0.430 Ho
0.612 0.509 0.268 Ho
0.278 0.846 0.597 Ho
0.388 0.491 0.732 Ho
0.054 0.323 0.570 Ho
0.720 0.653 0.906 Th
0.280 0.347 0.094 Th
0.062 0.809 0.067 Th
0.938 0.191 0.933 Th
```

***

Below is a relaxed LiZrTcSb crystal, with properties calculated at the PBE level.

Values from the calculation:
total magnetization = 0.000 μB per formula unit
space group = F-43m, No. 216
raw formation energy = -356.6 meV/atom
calculated total energy = -6.59 eV/atom

The structure in POSCAR format:
```
LiZrTcSb
1.0
-2.605 -2.697 2.669
1.577 -1.402 4.090
-1.835 1.678 3.873
Sb Tc Zr Li
1 1 1 1
Direct
0.250 0.250 0.250 Sb
0.500 0.500 0.500 Tc
0.750 0.750 0.750 Zr
0.000 0.000 0.000 Li
```

***

Below is a relaxed CsAlSnCl6 crystal, with properties calculated at the PBE level.

Values from the calculation:
total magnetization = 0.000 μB per formula unit
space group = P312, No. 149
raw formation energy = -1466.8 meV/atom
calculated total energy = -3.65 eV/atom

The structure in POSCAR format:
```
CsAlSnCl6
1.0
-2.776 1.376 -6.255
-3.379 -5.008 -3.497
-6.427 2.032 3.299
Cs Al Sn Cl
1 1 1 6
Direct
0.000 0.000 0.000 Cs
0.333 0.333 0.500 Al
0.667 0.667 0.500 Sn
0.054 0.345 0.315 Cl
0.345 0.054 0.685 Cl
0.601 0.345 0.685 Cl
0.054 0.601 0.685 Cl
0.345 0.601 0.315 Cl
0.601 0.054 0.315 Cl
```

***

Below is a relaxed Ba6TlAu2I3 crystal, with properties calculated at the PBE level.

Values from the calculation:
total magnetization = 0.000 μB per formula unit
space group = C2/m, No. 12
raw formation energy = -989.4 meV/atom
calculated total energy = -3.08 eV/atom

The structure in POSCAR format:
```
Ba6TlAu2I3
1.0
4.762 0.000 0.000
0.000 10.598 -0.315
-2.381 -3.780 10.693
Ba Tl Au I
6 1 2 3
Direct
0.337 0.896 0.674 Ba
0.679 0.554 0.358 Ba
0.663 0.104 0.326 Ba
0.007 0.246 0.015 Ba
0.993 0.754 0.985 Ba
0.321 0.446 0.642 Ba
0.500 0.000 0.000 Tl
0.835 0.673 0.669 Au
0.165 0.327 0.331 Au
0.500 0.500 0.000 I
0.834 0.170 0.668 I
0.166 0.830 0.332 I
```

***

Below is a relaxed ScRe3 crystal, with properties calculated at the PBE level.

Values from the calculation:
ΔH_f (0 K) = 31 kJ per mole of atoms
energy above the lowest structure with this stoichiometry = 0.3971 eV per atom
total magnetization = 0.000 μB per formula unit
space group = Pm-3m, No. 221
calculated total energy = -10.60 eV/atom

The structure in POSCAR format:
```
ScRe3
1.0
4.003 0.000 0.000
0.000 4.003 0.000
0.000 0.000 4.003
Re Sc
3 1
Direct
0.000 0.000 0.000 Re
0.000 0.500 0.500 Re
0.500 0.000 0.500 Re
0.500 0.500 0.000 Sc
```

***

Below is a relaxed NbSn3Rh crystal, with properties calculated at the PBE level.

Values from the calculation:
ΔH_f (0 K) = 62 kJ per mole of atoms
energy above the lowest structure with this stoichiometry = 0.0000 eV per atom
total magnetization = 3.071 μB per formula unit
space group = Pm-3m, No. 221
calculated total energy = -5.24 eV/atom

The structure in POSCAR format:
```
NbSn3Rh
1.0
-1.897 4.260 1.995
-4.358 -2.401 0.983
1.770 -1.346 4.559
Nb Rh Sn
1 1 3
Direct
0.500 0.500 0.500 Nb
0.000 0.000 0.000 Rh
0.000 0.500 0.000 Sn
0.000 0.000 0.500 Sn
0.500 0.000 0.000 Sn
```

***

Below is a relaxed Sm2Dy5Y crystal, with properties calculated at the PBE level.

Values from the calculation:
ΔH_f (0 K) = 1 kJ per mole of atoms
energy above the lowest structure with this stoichiometry = 0.0000 eV per atom
total magnetization = 0.002 μB per formula unit
space group = P-1, No. 2
calculated total energy = -4.85 eV/atom

The structure in POSCAR format:
```
Sm2Dy5Y
1.0
6.721 0.295 -0.530
-3.223 8.658 0.090
-2.128 -0.210 8.987
Sm Dy Y
4 10 2
Direct
0.875 0.648 0.481 Sm
0.877 0.481 0.146 Sm
0.125 0.352 0.519 Sm
0.123 0.519 0.854 Sm
0.126 0.856 0.021 Dy
0.874 0.979 0.646 Dy
0.377 0.732 0.396 Dy
0.626 0.774 0.106 Dy
0.625 0.103 0.270 Dy
0.375 0.897 0.730 Dy
0.623 0.268 0.604 Dy
0.374 0.226 0.894 Dy
0.874 0.144 0.979 Dy
0.126 0.021 0.354 Dy
0.624 0.606 0.772 Y
0.376 0.394 0.228 Y
```

***

Below is a relaxed Rb2InAuBr6 crystal, with properties calculated at the PBE level.

Values from the calculation:
energy above the lowest structure with this stoichiometry = 0.0000 eV per atom
total magnetization = 0.000 μB per formula unit
space group = P1, No. 1
raw formation energy = -1054.8 meV/atom
calculated total energy = -2.85 eV/atom

The structure in POSCAR format:
```
Rb2InAuBr6
1.0
8.211 -0.006 0.010
4.100 7.117 0.061
4.108 2.427 6.628
Rb In Au Br
2 1 1 6
Direct
0.581 0.548 0.306 Rb
0.066 0.035 0.867 Rb
0.301 0.303 0.064 In
0.606 0.858 0.747 Au
0.571 0.168 0.227 Br
0.173 0.994 0.268 Br
0.037 0.550 0.262 Br
0.518 0.628 0.729 Br
0.669 0.108 0.761 Br
0.141 0.470 0.783 Br
```

***

Below is a relaxed As2OsSe crystal, with properties calculated at the PBE level.

Values from the calculation:
energy above the lowest structure with this stoichiometry = 0.0986 eV per atom
total magnetization = 0.000 μB per formula unit
space group = Cm, No. 8
raw formation energy = 196.3 meV/atom
calculated total energy = -5.81 eV/atom

The structure in POSCAR format:
```
As2OsSe
1.0
-4.710 0.161 0.227
-3.838 -0.192 -2.737
-2.214 -5.875 0.050
As Os Se
2 1 1
Direct
0.947 0.947 0.968 As
0.826 0.826 0.667 As
0.563 0.563 0.600 Os
0.163 0.163 0.265 Se
```

***

Below is a relaxed Sc4AlZn2Cd crystal, with properties calculated at the PBE level.

Values from the calculation:
ΔH_f (0 K) = -35 kJ per mole of atoms
total magnetization = 0.000 μB per formula unit
space group = R-3m, No. 166
calculated total energy = -4.43 eV/atom

The structure in POSCAR format:
```
Sc4AlZn2Cd
1.0
4.822 0.000 0.000
2.411 4.176 0.000
2.411 1.392 7.882
Sc Al Zn Cd
4 1 2 1
Direct
0.377 0.377 0.868 Sc
0.873 0.873 0.382 Sc
0.127 0.127 0.618 Sc
0.623 0.623 0.132 Sc
0.500 0.500 0.500 Al
0.749 0.749 0.752 Zn
0.251 0.251 0.248 Zn
0.000 0.000 0.000 Cd
```

***

Below is a relaxed Pr8Cd3Ir2 crystal, with properties calculated at the PBE level.

Values from the calculation:
ΔH_f (0 K) = -27 kJ per mole of atoms
total magnetization = 0.000 μB per formula unit
space group = C2/m, No. 12
calculated total energy = -4.79 eV/atom

The structure in POSCAR format:
```
Pr8Cd3Ir2
1.0
-2.960 -3.364 -4.629
-0.182 -6.202 4.623
-7.846 4.808 -0.334
Pr Cd Ir
8 3 2
Direct
0.192 0.579 0.157 Pr
0.808 0.421 0.843 Pr
0.122 0.190 0.380 Pr
0.878 0.810 0.620 Pr
0.364 0.107 0.707 Pr
0.364 0.600 0.707 Pr
0.636 0.400 0.293 Pr
0.636 0.893 0.293 Pr
0.500 0.000 0.000 Cd
0.000 0.826 0.000 Cd
0.000 0.174 0.000 Cd
0.675 0.268 0.536 Ir
0.325 0.732 0.464 Ir
```